This record from Alexandria describes a relaxed K2Be crystal. The functional is PBE-GGA.

Computed properties:
Energy of formation: 0.7777 eV per atom
DOS(E_F): 5.199 states/eV/cell

Cell lengths 4.107, 4.107, 15.812 Å; angles 90.00, 90.00, 90.00 degrees
Space group I4/mmm (No. 139)
One atom of each set of equivalent atoms:
K1 0.000 0.000 0.125
Be1 0.000 0.000 0.500